Crystalline KTl2GaRh at its relaxed geometry. Source: the Alexandria database, functional GGA-PBE.

Lattice parameters (Å, degrees): 5.3662 5.3662 4.9093 90.00 90.00 90.00
Positions (direct):
1 K 0.0000 0.0000 0.0000
2 Tl 0.0000 0.5000 0.5000
3 Tl 0.5000 0.0000 0.5000
4 Ga 0.5000 0.5000 0.0000
5 Rh 0.5000 0.5000 0.5000

Properties
symmetry: P4/mmm, No. 123
calculated total energy: -0.247 Ry per atom
energy of formation: -0.122 eV per atom
crystal system: tetragonal
Fermi-level density of states: 3.61 states/eV per cell
total magnetization: 0.000 μB/atom